No. 1
ZrCd2Hg | PBE-GGA | optimized geometry

Values from the calculation:
crystal system = orthorhombic
size of the total moment = 0.000 μB/atom
E_form = -0.105 eV per atom

abc: 4.308 4.412 4.559
angles: 90.00 90.00 90.00
Fractional coordinates of all 4 atoms:
1 Zr 0.000 0.000 0.000
2 Cd 0.000 0.500 0.500
3 Cd 0.500 0.000 0.500
4 Hg 0.500 0.500 0.000

No. 2
Ac2Zn3Ga2 | PBE-GGA | optimized geometry

Values from the calculation:
energy relative to the lowest polymorph listed for this composition = 0.0 kJ/mol of atoms
crystal system = monoclinic
size of the total moment = 0.000 μB/atom
E_form = -0.384 eV per atom

abc: 11.792 4.338 6.922
angles: 90.00 103.69 90.00
Fractional coordinates of all 14 atoms:
1 Ac 0.173 0.000 0.237
2 Ac 0.327 0.500 0.763
3 Ac 0.673 0.500 0.237
4 Ac 0.827 0.000 0.763
5 Zn 0.000 0.500 0.500
6 Zn 0.063 0.500 0.879
7 Zn 0.437 0.000 0.121
8 Zn 0.500 0.000 0.500
9 Zn 0.563 0.000 0.879
10 Zn 0.937 0.500 0.121
11 Ga 0.110 0.000 0.690
12 Ga 0.390 0.500 0.310
13 Ga 0.610 0.500 0.690
14 Ga 0.890 0.000 0.310

No. 3
ZnGaFe | PBE-GGA | optimized geometry

Values from the calculation:
crystal system = trigonal
size of the total moment = 0.590 μB/atom
E_form = 0.073 eV per atom

abc: 4.193 4.193 2.639
angles: 90.00 90.00 120.00
Fractional coordinates of all 3 atoms:
1 Zn 0.000 0.000 0.000
2 Ga 0.667 0.333 0.797
3 Fe 0.333 0.667 0.421